A relaxed structure of Y2Co3Si5. Source: the Alexandria database, functional PBE.

Symmetry   C2/c
E   -138.199 eV per cell

a = 7.848 Å, b = 7.848 Å, c = 5.509 Å
α = 70.79°, β = 70.79°, γ = 93.34°
Last column: magnetic moment on the atom in μB.
Positions (direct):
Si (0.215, 0.785, 0.250)  0.00
Si (0.770, 0.230, 0.250)  0.00
Si (0.063, 0.262, 0.336)  0.00
Si (0.738, 0.937, 0.164)  0.00
Si (0.937, 0.738, 0.664)  0.00
Si (0.511, 0.489, 0.250)  0.00
Si (0.785, 0.215, 0.750)  0.00
Si (0.230, 0.770, 0.750)  0.00
Si (0.262, 0.063, 0.836)  0.00
Si (0.489, 0.511, 0.750)  0.00
Co (0.263, 0.539, 0.126)  0.03
Co (0.004, 0.996, 0.250)  0.32
Co (0.737, 0.461, 0.874)  0.03
Co (0.996, 0.004, 0.750)  0.32
Co (0.539, 0.263, 0.626)  0.03
Co (0.461, 0.737, 0.374)  0.03
Y (0.401, 0.130, 0.237)  0.00
Y (0.599, 0.870, 0.763)  0.00
Y (0.130, 0.401, 0.737)  0.00
Y (0.870, 0.599, 0.263)  0.00

A relaxed structure of Ac4Nd3Te8. Source: the Alexandria database, functional PBE.

Symmetry   C2/m
E   -78.059 eV per cell

a = 9.291 Å, b = 9.236 Å, c = 9.236 Å
α = 90.03°, β = 120.19°, γ = 120.19°
Positions (direct):
Nd (0.500, 0.500, 0.000)
Nd (0.500, 0.500, 0.500)
Nd (0.500, 0.000, 0.500)
Ac (0.000, 0.000, 0.000)
Ac (0.000, 0.000, 0.500)
Ac (0.000, 0.500, 0.000)
Ac (0.500, 0.000, 0.000)
Te (0.500, 0.255, 0.745)
Te (0.500, 0.745, 0.255)
Te (0.990, 0.737, 0.737)
Te (0.000, 0.742, 0.258)
Te (0.516, 0.263, 0.263)
Te (0.010, 0.263, 0.263)
Te (0.484, 0.737, 0.737)
Te (0.000, 0.258, 0.742)

A relaxed structure of Pm10HoSc4. Source: the Alexandria database, functional PBE.

Symmetry   I4/m
Energy of formation   0.53 eV per atom
E   -69.398 eV per cell

a = 8.262 Å, b = 8.901 Å, c = 8.901 Å
α = 77.56°, β = 62.35°, γ = 62.35°
Positions (direct):
Pm (0.578, 0.113, 0.343)
Pm (0.921, 0.657, 0.113)
Pm (0.079, 0.343, 0.887)
Pm (0.750, 0.500, 0.500)
Pm (0.422, 0.887, 0.657)
Pm (0.966, 0.113, 0.343)
Pm (0.692, 0.343, 0.887)
Pm (0.034, 0.887, 0.657)
Pm (0.250, 0.500, 0.500)
Pm (0.308, 0.657, 0.113)
Sc (0.435, 0.852, 0.278)
Sc (0.713, 0.722, 0.852)
Sc (0.287, 0.278, 0.148)
Sc (0.565, 0.148, 0.722)
Ho (0.000, 0.000, 0.000)

- Which of these has the lowest E?
  Y2Co3Si5

- Look up the E of the first one.
  -138.199 eV per cell